No. 1
# Ba5Bi2TeAs | the Alexandria database | PBE | relaxed
# **DFT total energy**: -3.72 eV/atom
# **Formation energy (no corrections)**: -0.93 eV per atom
# **Calculated volume**: 48.3 Å³/atom
# **Total magnetic moment**: 0.00 μB per formula unit
# **DOS(E_F)**: 15.52 states/eV/cell
data_Ba5Bi2TeAs
_symmetry_space_group_name_H-M 'I m m m'
_symmetry_Int_Tables_number 71
_symmetry_space_group_name_Hall '-I 2 2'
_cell_length_a 5.7926
_cell_length_b 8.4878
_cell_length_c 17.6670
_cell_angle_alpha 90.00
_cell_angle_beta 90.00
_cell_angle_gamma 90.00
loop_
_atom_site_label
_atom_site_fract_x
_atom_site_fract_y
_atom_site_fract_z
Ba1 0.0000 0.0000 0.0000
Ba2 0.0000 0.2450 0.3611
Bi1 0.0000 0.0000 0.1975
Te1 0.0000 0.5000 0.0000
As1 0.0000 0.5000 0.5000

No. 2
# Rb2ZrBi | the Alexandria database | PBE | relaxed
# **DFT formation energy**: 1.8 eV/f.u.
# **DFT total energy**: -3.14 eV/atom
# **Calculated volume**: 66.7 Å³/atom
# **Total magnetic moment**: 1.00 μB per formula unit
# **DOS(E_F)**: 4.97 states/eV/cell
data_Rb2ZrBi
_symmetry_space_group_name_H-M 'I -4 2 d'
_symmetry_Int_Tables_number 122
_symmetry_space_group_name_Hall 'I -4 2bw'
_cell_length_a 13.6618
_cell_length_b 13.6618
_cell_length_c 5.7150
_cell_angle_alpha 90.00
_cell_angle_beta 90.00
_cell_angle_gamma 90.00
loop_
_atom_site_label
_atom_site_fract_x
_atom_site_fract_y
_atom_site_fract_z
Rb1 0.0941 0.2500 0.1250
Zr1 0.0000 0.0000 0.5000
Bi1 0.0000 0.0000 0.0000

No. 3
# Tl2PPb2 | the Alexandria database | PBE | relaxed
# **DFT formation energy**: 0.9 eV/f.u.
# **DFT total energy**: -3.33 eV/atom
# **Calculated volume**: 31.1 Å³/atom
# **Total magnetic moment**: 0.00 μB per formula unit
# **DOS(E_F)**: 6.70 states/eV/cell
data_Tl2PPb2
_symmetry_space_group_name_H-M 'P 4/m b m'
_symmetry_Int_Tables_number 127
_symmetry_space_group_name_Hall '-P 4 2ab'
_cell_length_a 7.4548
_cell_length_b 7.4548
_cell_length_c 5.6014
_cell_angle_alpha 90.00
_cell_angle_beta 90.00
_cell_angle_gamma 90.00
loop_
_atom_site_label
_atom_site_fract_x
_atom_site_fract_y
_atom_site_fract_z
Tl1 0.1679 0.3321 0.0000
P1 0.0000 0.0000 0.5000
Pb1 0.1542 0.6542 0.5000

> Which formula does entry 2 have?

Rb2ZrBi

> What is the DFT total energy in the third record?

-3.33 eV/atom